# K3ErRh3O8

An optimized crystal structure of K3ErRh3O8 (PBE, Alexandria via LeMat-Bulk).

POSCAR file:
```
K3ErRh3O8
1.0
6.376 0.000 0.000
-3.188 5.523 -0.020
0.000 -3.662 6.126
K Rh O Er
3 3 8 1
direct
0.000 0.000 0.000
0.000 0.500 0.000
0.500 0.500 0.000
0.500 0.500 0.500
0.000 0.500 0.500
0.500 0.000 0.500
0.236 0.941 0.677
0.294 0.059 0.323
0.764 0.059 0.323
0.278 0.556 0.334
0.722 0.444 0.666
0.236 0.472 0.677
0.706 0.941 0.677
0.764 0.528 0.323
0.000 0.000 0.500
```

Results
Uncorrected energy = -91.2 eV/f.u.
DOS at the Fermi energy = 0.27 states/eV per atom
Space-group type = R-3m


# CaSbI2O

An optimized crystal structure of CaSbI2O (PBE, Alexandria via LeMat-Bulk).

POSCAR file:
```
CaSbI2O
1.0
-3.540 -4.514 -2.631
4.657 -1.287 -4.060
1.550 -2.762 2.653
I Sb O Ca
2 1 1 1
direct
0.000 0.500 0.000
0.500 0.000 0.000
0.000 0.000 0.000
0.000 0.000 0.500
0.500 0.500 0.500
```

Results
DOS at the Fermi energy = 0.51 states/eV per atom
Space-group type = P4/mmm
Polymorph energy (0 for the lowest one) = 0 meV/atom


# YHfCu2W

An optimized crystal structure of YHfCu2W (PBE, Alexandria via LeMat-Bulk).

POSCAR file:
```
YHfCu2W
1.0
-3.166 -2.958 -2.118
2.380 0.481 -4.230
2.774 -3.779 1.131
Cu W Y Hf
2 1 1 1
direct
0.000 0.000 0.500
0.500 0.000 0.000
0.000 0.500 0.000
0.500 0.500 0.500
0.000 0.000 0.000
```

Results
Energy of formation from the pure elements = 1.04 eV per atom
DOS at the Fermi energy = 0.92 states/eV per atom
Space-group type = P4/mmm


# Y3ZrAs4

An optimized crystal structure of Y3ZrAs4 (PBE, Alexandria via LeMat-Bulk).

POSCAR file:
```
Y3ZrAs4
1.0
4.048 0.000 0.000
0.000 7.015 -0.056
0.000 -2.265 6.639
Y Zr As
3 1 4
direct
0.500 0.500 0.500
0.000 0.000 0.500
0.000 0.500 0.000
0.500 0.000 0.000
0.500 0.244 0.756
0.000 0.240 0.240
0.500 0.756 0.244
0.000 0.760 0.760
```

Results
Energy of formation from the pure elements = -1.44 eV per atom
DOS at the Fermi energy = 0.19 states/eV per atom
Space-group type = Cmmm


# Cs2SrInBr5

An optimized crystal structure of Cs2SrInBr5 (PBE, Alexandria via LeMat-Bulk).

POSCAR file:
```
Cs2SrInBr5
1.0
4.780 0.000 0.000
-2.390 10.356 0.000
0.000 0.000 16.223
In Cs Br Sr
2 4 10 2
direct
0.458 0.917 0.453
0.542 0.083 0.953
0.864 0.727 0.799
0.136 0.273 0.299
0.085 0.171 0.655
0.915 0.829 0.155
0.504 0.008 0.271
0.261 0.522 0.652
0.633 0.266 0.487
0.367 0.734 0.987
0.496 0.992 0.771
0.739 0.478 0.152
0.082 0.164 0.073
0.696 0.392 0.908
0.918 0.836 0.573
0.304 0.608 0.408
0.224 0.447 0.027
0.776 0.553 0.527
```

Results
Uncorrected energy = -29.2 eV/f.u.
DOS at the Fermi energy = 0.00 states/eV per atom
Space-group type = Cmc2_1


# SrPr2B2O6

An optimized crystal structure of SrPr2B2O6 (PBE, Alexandria via LeMat-Bulk).

POSCAR file:
```
SrPr2B2O6
1.0
5.602 0.000 0.000
-2.801 4.852 0.000
0.000 0.000 5.943
Pr B O Sr
2 2 6 1
direct
0.667 0.333 0.657
0.333 0.667 0.343
0.333 0.667 0.800
0.667 0.333 0.200
0.889 0.287 0.271
0.287 0.398 0.729
0.713 0.602 0.271
0.111 0.713 0.729
0.398 0.111 0.271
0.602 0.889 0.729
0.000 0.000 0.000
```

Results
Uncorrected energy = -82.1 eV/f.u.
DOS at the Fermi energy = 0.05 states/eV per atom
Space-group type = P-3


# YNi2Os

An optimized crystal structure of YNi2Os (PBE, Alexandria via LeMat-Bulk).

POSCAR file:
```
YNi2Os
1.0
4.967 -0.004 0.000
1.936 4.575 0.000
-3.451 -2.285 2.746
Ni Os Y
2 1 1
direct
0.250 0.750 0.500
0.000 0.000 0.000
0.500 0.500 0.000
0.750 0.250 0.500
```

Results
Energy of formation from the pure elements = 0.20 eV per atom
DOS at the Fermi energy = 1.26 states/eV per atom
Space-group type = I-4m2
Polymorph energy (0 for the lowest one) = 351 meV/atom


# OsAu

An optimized crystal structure of OsAu (PBE, Alexandria via LeMat-Bulk).

POSCAR file:
```
OsAu
1.0
4.449 0.000 0.000
-2.224 3.853 0.000
0.000 0.000 5.323
Os Au
2 2
direct
0.333 0.667 0.250
0.667 0.333 0.750
0.333 0.667 0.750
0.667 0.333 0.250
```

Results
Energy of formation from the pure elements = 1.94 eV per atom
DOS at the Fermi energy = 0.87 states/eV per atom
Space-group type = P6_3/mmc
Polymorph energy (0 for the lowest one) = 1657 meV/atom


V (Å³ per atom)
14.35 32.91 22.69 23.50 44.61 14.68 15.60 22.81
Magnetic moment (Bohr magnetons per cell)
0.90 0.18 0.00 0.00 0.00 1.92 1.80 3.53